Density functional theory data (PBE) for a relaxed BaLaCu crystal.

Computed properties:
**Total magnetization**: 0.00 μB per formula unit
**Space-group type**: I4mm
**Energy of formation**: 0.02 eV/atom

abc: 7.5128 7.5128 7.5128
angles: 150.35 150.35 42.42
Atoms (fractional coordinates):
1 Ba 0.0000 0.0000 0.0000
2 La 0.2553 0.2553 0.0000
3 Cu 0.6558 0.6558 0.0000